Density functional theory data (PBE) for a relaxed SrTl6In2 crystal.

Unit cell a=9.599 b=9.599 c=6.480 alpha=101.21 beta=101.21 gamma=100.15
Fractional positions:
Sr (0.105, 0.895, 0.750)
Sr (0.895, 0.105, 0.250)
Tl (0.055, 0.259, 0.809)
Tl (0.099, 0.462, 0.330)
Tl (0.249, 0.628, 0.969)
Tl (0.259, 0.055, 0.309)
Tl (0.372, 0.751, 0.531)
Tl (0.462, 0.099, 0.830)
Tl (0.538, 0.901, 0.170)
Tl (0.628, 0.249, 0.469)
Tl (0.741, 0.945, 0.691)
Tl (0.751, 0.372, 0.031)
Tl (0.901, 0.538, 0.670)
Tl (0.945, 0.741, 0.191)
In (0.362, 0.376, 0.648)
In (0.376, 0.362, 0.148)
In (0.624, 0.638, 0.852)
In (0.638, 0.624, 0.352)

Calculated values
E_form	-0.077	eV/atom
electronic total energy	-2.450	eV/atom
energy relative to the lowest polymorph listed for this composition	0.000	eV/atom